Entry 1:
{
  "formula": "AgAsBr2",
  "functional": "PBE",
  "state": "relaxed",
  "cell": [[-1.615, -4.311, 2.494], [3.099, -2.922, -3.045], [7.001, -2.755, 5.267]],
  "species": ["Ag", "Ag", "Br", "Br", "Br", "Br", "As", "As"],
  "frac_coords": [[0.750, 0.250, 0.500], [0.000, 0.000, 0.000], [0.875, 0.859, 0.750], [0.609, 0.125, 0.250], [0.375, 0.391, 0.750], [0.141, 0.625, 0.250], [0.500, 0.500, 0.000], [0.250, 0.750, 0.500]],
  "e_above_lowest_polymorph_mev_per_atom": 341
}

=====

Entry 2:
{
  "formula": "Th6Ge2SbTe3",
  "functional": "PBE",
  "state": "relaxed",
  "cell": [[-2.240, -3.761, 0.550], [6.626, -3.213, 5.018], [-4.647, 6.254, 6.135]],
  "species": ["Th", "Th", "Th", "Th", "Th", "Th", "Ge", "Ge", "Te", "Te", "Te", "Sb"],
  "frac_coords": [[0.989, 0.748, 0.977], [0.674, 0.566, 0.347], [0.332, 0.890, 0.664], [0.668, 0.110, 0.336], [0.326, 0.434, 0.653], [0.011, 0.252, 0.023], [0.169, 0.336, 0.337], [0.831, 0.664, 0.663], [0.162, 0.833, 0.324], [0.838, 0.167, 0.676], [0.500, 0.500, 0.000], [0.500, 0.000, 0.000]]
}

=====

| no. | magnetic moment (μB/f.u.) | E_form (uncorrected) (eV/atom) | V (Å³ per cell) |
| --- | --- | --- | --- |
| 1 | 0.00 | 0.206 | 230 |
| 2 | 0.00 | -0.992 | 370 |